Density functional theory data (GGA-PBE) for crystalline TbPm2PrSm2 at its relaxed geometry.

Cell: 6.7030 18.0749 3.4430 Å, 90.00 90.00 90.00°
With the nearest neighbours (Å) after each atom.
Space group Pnnm (No. 58)
Asymmetric unit:
Tb: 0.0000 0.0000 0.0000 (multiplicity 2)  2 Tb 3.44, 4 Sm 3.52, 4 Pr 3.77
Pm: 0.2261 0.3166 0.0000 (multiplicity 4)  4 Sm 3.38-3.49, 2 Pm 3.44, 1 Pr 3.65
Pr: 0.0000 0.5000 0.0000 (multiplicity 2)  2 Sm 3.28, 2 Pr 3.44, 2 Pm 3.65
Sm: 0.2214 0.1489 0.5000 (multiplicity 4)  1 Pr 3.28, 4 Pm 3.38-3.49, 2 Sm 3.44, 2 Tb 3.52

- calculated formation energy (eV per atom) = 0.250
- calculated density (g/cm³) = 7.1

=====

Density functional theory data (GGA-PBE) for crystalline BaZnAs3 at its relaxed geometry.

Cell: 5.9190 5.9190 5.9190 Å, 90.00 90.00 90.00°
With the nearest neighbours (Å) after each atom.
Space group Pm-3m (No. 221)
Asymmetric unit:
Ba: 0.0000 0.0000 0.0000 (multiplicity 1)  6 As 2.96
Zn: 0.5000 0.5000 0.5000 (multiplicity 1)  12 As 4.19
As: 0.0000 0.0000 0.5000 (multiplicity 3)  2 Ba 2.96

- calculated formation energy (eV per atom) = 1.189
- calculated density (g/cm³) = 3.4
- energy relative to the lowest polymorph listed for this composition (eV/atom) = 1.341